1.
3
Lattice="-0.0837 -0.0747 3.2462 -1.7293 -2.1458 -1.7190 4.3113 -3.4989 0.0306" Properties=species:S:1:pos:R:3 comment="GGA-PBE Si2Ag, relaxed" e_form_raw_ev_per_atom=0.35 relative_energy_ev_per_atom=0.037 spacegroup=P-3m1 dos_ef_per_ev_fu=0.81 pbc="T T T"
Ag 0.0000 0.0000 0.0000
Si 2.1288 -3.0059 1.6107
Si 0.3694 -2.7136 -0.0530

***

2.
20
Lattice="7.7023 0.0000 -0.0046 0.0000 8.4168 0.0000 -0.0921 0.0000 9.6538" Properties=species:S:1:pos:R:3 comment="GGA-PBE MgSb2Pb2, relaxed" e_form_raw_ev_per_atom=-0.12 relative_energy_ev_per_atom=0.000 spacegroup=P2_1/c dos_ef_per_ev_fu=0.24 pbc="T T T"
Mg 2.7656 3.5528 3.6979
Mg 4.8447 4.8640 5.9514
Mg 6.6167 0.6556 3.6956
Mg 0.9935 7.7612 5.9537
Sb 5.8494 7.8317 1.1801
Sb 1.9983 4.7935 1.1824
Sb 5.6120 3.6233 8.4668
Sb 1.7608 0.5851 8.4691
Sb 5.7109 3.3786 3.5984
Sb 1.8597 0.8298 3.6007
Sb 5.7506 7.5871 6.0486
Sb 1.8994 5.0382 6.0509
Pb 3.9014 1.9736 0.8491
Pb 0.0502 2.2348 0.8514
Pb 7.5601 6.1820 8.7979
Pb 3.7089 6.4433 8.8002
Pb 7.6245 5.8408 3.2857
Pb 3.7733 6.7844 3.2880
Pb 3.8370 1.6324 6.3612
Pb -0.0142 2.5760 6.3635

***

3.
15
Lattice="-4.5381 -4.4622 -0.8388 1.4073 1.0302 -8.6935 5.6146 -6.4839 5.1225" Properties=species:S:1:pos:R:3 comment="GGA-PBE Pm13Mg2, relaxed" energy_ev_per_atom=-4.315 spacegroup=P-1 dos_ef_per_ev_fu=19.04 pbc="T T T"
Pm 3.4565 -8.7894 -1.2278
Pm -0.9726 -1.1264 -3.1820
Pm 0.0000 0.0000 0.0000
Pm 2.2168 -4.9581 2.1507
Pm 0.2671 -4.9577 -6.5606
Pm 4.3711 -5.1405 -0.8271
Pm -1.8872 -4.7753 -3.5828
Pm 1.5501 -3.6332 -3.2512
Pm 0.9338 -6.2826 -1.1587
Pm 3.4762 -6.4758 -3.9973
Pm -0.9923 -3.4400 -0.4126
Pm 1.2344 -8.6104 1.4851
Pm 1.2494 -1.3054 -5.8949
Mg 0.2604 -7.4035 -4.2905
Mg 2.2235 -2.5123 -0.1194

***

4.
14
Lattice="-1.3328 4.4899 5.9092 2.7080 -4.7869 4.2483 8.1345 1.1739 -3.8693" Properties=species:S:1:pos:R:3 comment="GGA-PBE Sm5Cd2, relaxed" relative_energy_ev_per_atom=0.045 spacegroup=C2/c dos_ef_per_ev_fu=7.73 pbc="T T T"
Sm 2.5377 -1.0533 2.9030
Sm 9.2347 -3.5249 1.4801
Sm 6.0485 -1.7550 2.6783
Sm 4.8205 0.2206 5.7107
Sm 3.4613 2.6319 3.6100
Sm 4.6893 0.6563 0.5775
Sm 0.2751 4.4018 4.8081
Sm 6.9721 1.9302 3.3853
Sm 8.1477 2.2135 0.1363
Sm 1.3621 -1.3366 6.1519
Cd 7.4405 -0.9206 -0.1117
Cd 1.4037 1.8678 1.2197
Cd 2.0693 1.7975 6.4000
Cd 8.1061 -0.9909 5.0685

***

5.
8
Lattice="4.0322 0.0000 0.0000 0.0000 4.6007 0.0000 0.0000 0.0000 10.7170" Properties=species:S:1:pos:R:3 comment="GGA-PBE La4Cu3Ru, relaxed" energy_ev_per_atom=-5.365 spacegroup=Pmm2 dos_ef_per_ev_fu=6.88 pbc="T T T"
Ru 2.0161 2.3004 0.9470
Cu 0.0000 2.3004 5.9958
Cu 0.0000 0.0000 4.6200
Cu 2.0161 0.0000 9.9726
La 2.0161 2.3004 3.6392
La 0.0000 2.3004 9.3962
La 0.0000 0.0000 1.4883
La 2.0161 0.0000 6.8091

***

6.
4
Lattice="6.9271 0.0502 0.0000 4.2890 5.4399 0.0000 -5.6080 -2.7450 3.0003" Properties=species:S:1:pos:R:3 comment="GGA-PBE FePb2Br, relaxed" e_form_raw_ev_per_atom=0.48 relative_energy_ev_per_atom=0.392 spacegroup=I-4m2 dos_ef_per_ev_fu=2.72 pbc="T T T"
Br 5.6080 2.7450 0.0000
Fe 3.4635 0.0251 1.5002
Pb 0.0000 0.0000 0.0000
Pb 2.1445 2.7199 1.5002

***

7.
4
Lattice="4.0761 0.0000 0.0000 0.0000 3.9858 -0.0282 0.0000 3.8376 8.6375" Properties=species:S:1:pos:R:3 comment="GGA-PBE Ba2InFe, relaxed" energy_ev_per_atom=-3.466 spacegroup=P2/m dos_ef_per_ev_fu=6.79 pbc="T T T"
Ba 0.0000 4.0405 0.1523
Ba 0.0000 3.8570 4.1241
Fe 2.0380 1.9559 2.1523
In 2.0380 5.8676 6.4570

***

8.
10
Lattice="-1.9313 3.5169 -4.9964 0.4607 -6.2011 -4.5430 -5.7427 0.8667 2.8298" Properties=species:S:1:pos:R:3 comment="GGA-PBE KNaSbSe2, relaxed" e_form_raw_ev_per_atom=-0.60 spacegroup=P2/c dos_ef_per_ev_fu=1.00 pbc="T T T"
K -4.5232 -1.6374 -1.3043
K -2.6901 -0.1801 -5.4052
Na -2.4039 1.9799 -1.7975
Na -5.2700 2.4037 -0.3691
Sb 0.0000 0.0000 0.0000
Sb -2.8713 0.4333 1.4149
Se -5.9340 -0.9940 -4.3928
Se -5.0331 1.2168 -3.1849
Se -2.1802 -3.0343 -3.5247
Se -1.2793 -0.8235 -2.3168